# YHo2Co

A relaxed YHo2Co crystal (PBE, the Alexandria database).

Values from the calculation:
ΔE to the lowest computed polymorph, meV/atom: 0.0
Spin magnetization, μB per cell: 0.00
E_form, eV per atom: -0.166
SG: Pnma (62)

a = 6.9390 Å, b = 9.3919 Å, c = 6.2186 Å
α = 90.00°, β = 90.00°, γ = 90.00°
Fractional coordinates of all 16 atoms:
Y 0.0411 0.2500 0.1390
Y 0.4589 0.7500 0.6390
Y 0.5411 0.2500 0.3610
Y 0.9589 0.7500 0.8610
Ho 0.1745 0.0679 0.6763
Ho 0.1745 0.4321 0.6763
Ho 0.3255 0.5679 0.1763
Ho 0.3255 0.9321 0.1763
Ho 0.6745 0.0679 0.8237
Ho 0.6745 0.4321 0.8237
Ho 0.8255 0.5679 0.3237
Ho 0.8255 0.9321 0.3237
Co 0.1121 0.7500 0.4460
Co 0.3879 0.2500 0.9460
Co 0.6121 0.7500 0.0540
Co 0.8879 0.2500 0.5540